Below is a geometry-optimized Mo3Os structure, with properties calculated at the PBE level.

The structure in CIF format:
```
data_Mo3Os
_chemical_formula_sum 'Mo3 Os1'
_space_group_name_H-M_alt 'P m -3 m'
_space_group_IT_number 221
_space_group_name_Hall '-P 4 2 3'
_cell_length_a 3.962
_cell_length_b 3.962
_cell_length_c 3.962
_cell_angle_alpha 90.00
_cell_angle_beta 90.00
_cell_angle_gamma 90.00
loop_
_atom_site_label
_atom_site_type_symbol
_atom_site_fract_x
_atom_site_fract_y
_atom_site_fract_z
_atom_site_occupancy
Mo1 Mo 0.000 0.000 0.500 1
Os1 Os 0.500 0.500 0.500 1
```

Values from the calculation:
electronic total energy	-10.7390	eV per atom
energy relative to the elements	0.19	eV/atom